First-principles (GGA-PBE) data for a geometry-optimized RbSn3Pd3 structure, as listed in Alexandria.

Computed properties:
DFT formation energy, eV/atom: -0.308
Magnetization, μB per formula unit: 0.00
Energy above the lowest structure with this stoichiometry, meV/atom: 0
Calculated volume, Å³ per cell: 410

Lattice parameters (Å, degrees): 9.730 9.730 9.730 44.41 44.41 44.41
Element x y z (fractional)
Rb: 0.161 0.161 0.161
Rb: 0.839 0.839 0.839
Sn: 0.074 0.460 0.634
Sn: 0.366 0.926 0.540
Sn: 0.460 0.634 0.074
Sn: 0.540 0.366 0.926
Sn: 0.634 0.074 0.460
Sn: 0.926 0.540 0.366
Pd: 0.034 0.811 0.282
Pd: 0.189 0.718 0.966
Pd: 0.282 0.034 0.811
Pd: 0.718 0.966 0.189
Pd: 0.811 0.282 0.034
Pd: 0.966 0.189 0.718

First-principles (GGA-PBE) data for a geometry-optimized RbSn2Pd structure, as listed in Alexandria.

Computed properties:
DFT formation energy, eV/atom: 0.149
Magnetization, μB per formula unit: 0.00
Calculated volume, Å³ per cell: 101

Lattice parameters (Å, degrees): 5.231 5.231 5.231 60.00 60.00 60.00
Element x y z (fractional)
Rb: 0.000 0.000 0.000
Sn: 0.250 0.250 0.250
Sn: 0.750 0.750 0.750
Pd: 0.500 0.500 0.500

First-principles (GGA-PBE) data for a geometry-optimized RbSnPd2 structure, as listed in Alexandria.

Computed properties:
DFT formation energy, eV/atom: 0.049
Magnetization, μB per formula unit: 0.00
Calculated volume, Å³ per cell: 235

Lattice parameters (Å, degrees): 6.746 6.746 6.746 106.95 106.95 114.63
Element x y z (fractional)
Rb: 0.000 0.000 0.000
Rb: 0.750 0.250 0.500
Sn: 0.250 0.750 0.500
Sn: 0.500 0.500 0.000
Pd: 0.207 0.625 0.082
Pd: 0.375 0.457 0.582
Pd: 0.543 0.125 0.918
Pd: 0.875 0.793 0.418

First-principles (GGA-PBE) data for a geometry-optimized RbSn2Pd structure, as listed in Alexandria.

Computed properties:
DFT formation energy, eV/atom: -0.369
Magnetization, μB per formula unit: 0.00
Calculated volume, Å³ per cell: 128

Lattice parameters (Å, degrees): 7.705 7.705 7.705 34.14 34.14 34.14
Element x y z (fractional)
Rb: 0.000 0.000 0.000
Sn: 0.544 0.544 0.544
Sn: 0.792 0.792 0.792
Pd: 0.172 0.172 0.172

First-principles (GGA-PBE) data for a geometry-optimized RbSn6Pd structure, as listed in Alexandria.

Computed properties:
DFT formation energy, eV/atom: -0.202
Magnetization, μB per formula unit: 0.00
Calculated volume, Å³ per cell: 244

Lattice parameters (Å, degrees): 4.759 4.759 10.790 90.00 90.00 90.00
Element x y z (fractional)
Rb: 0.000 0.000 0.000
Sn: 0.000 0.500 0.352
Sn: 0.000 0.500 0.648
Sn: 0.500 0.000 0.352
Sn: 0.500 0.000 0.648
Sn: 0.500 0.500 0.174
Sn: 0.500 0.500 0.826
Pd: 0.000 0.000 0.500

First-principles (GGA-PBE) data for a geometry-optimized RbSn2Pd structure, as listed in Alexandria.

Computed properties:
DFT formation energy, eV/atom: -0.368
Magnetization, μB per formula unit: 0.00
Calculated volume, Å³ per cell: 128

Lattice parameters (Å, degrees): 7.715 7.715 7.715 33.94 33.94 33.94
Element x y z (fractional)
Rb: 0.000 0.000 0.000
Sn: 0.210 0.210 0.210
Sn: 0.790 0.790 0.790
Pd: 0.500 0.500 0.500

First-principles (GGA-PBE) data for a geometry-optimized Rb2Sn6Pd structure, as listed in Alexandria.

Computed properties:
DFT formation energy, eV/atom: -0.222
Magnetization, μB per formula unit: 0.00
Calculated volume, Å³ per cell: 269

Lattice parameters (Å, degrees): 6.913 6.913 6.501 90.00 90.00 120.00
Element x y z (fractional)
Rb: 0.333 0.667 0.353
Rb: 0.667 0.333 0.647
Sn: 0.162 0.324 0.819
Sn: 0.162 0.838 0.819
Sn: 0.324 0.162 0.181
Sn: 0.676 0.838 0.819
Sn: 0.838 0.162 0.181
Sn: 0.838 0.676 0.181
Pd: 0.000 0.000 0.500

First-principles (GGA-PBE) data for a geometry-optimized Rb2SnPd structure, as listed in Alexandria.

Computed properties:
DFT formation energy, eV/atom: -0.092
Magnetization, μB per formula unit: 0.00
Calculated volume, Å³ per cell: 423

Lattice parameters (Å, degrees): 9.466 9.466 9.466 94.15 94.15 148.79
Element x y z (fractional)
Rb: 0.375 0.060 0.185
Rb: 0.810 0.625 0.685
Rb: 0.875 0.190 0.815
Rb: 0.940 0.125 0.315
Sn: 0.250 0.750 0.500
Sn: 0.500 0.500 0.000
Pd: 0.000 0.000 0.000
Pd: 0.750 0.250 0.500

First-principles (GGA-PBE) data for a geometry-optimized RbSn8Pd2 structure, as listed in Alexandria.

Computed properties:
DFT formation energy, eV/atom: -0.139
Magnetization, μB per formula unit: 0.00
Energy above the lowest structure with this stoichiometry, meV/atom: 4
Calculated volume, Å³ per cell: 397

Lattice parameters (Å, degrees): 6.449 6.449 9.545 90.00 90.00 90.00
Element x y z (fractional)
Rb: 0.000 0.000 0.000
Sn: 0.252 0.252 0.331
Sn: 0.252 0.252 0.669
Sn: 0.252 0.748 0.331
Sn: 0.252 0.748 0.669
Sn: 0.748 0.252 0.331
Sn: 0.748 0.252 0.669
Sn: 0.748 0.748 0.331
Sn: 0.748 0.748 0.669
Pd: 0.000 0.500 0.500
Pd: 0.500 0.000 0.500

First-principles (GGA-PBE) data for a geometry-optimized Rb2Sn2Pd structure, as listed in Alexandria.

Computed properties:
DFT formation energy, eV/atom: -0.163
Magnetization, μB per formula unit: 0.00
Energy above the lowest structure with this stoichiometry, meV/atom: 150
Calculated volume, Å³ per cell: 323

Lattice parameters (Å, degrees): 7.197 7.197 6.237 90.00 90.00 90.00
Element x y z (fractional)
Rb: 0.182 0.318 0.000
Rb: 0.318 0.818 0.000
Rb: 0.682 0.182 0.000
Rb: 0.818 0.682 0.000
Sn: 0.143 0.643 0.500
Sn: 0.357 0.143 0.500
Sn: 0.643 0.857 0.500
Sn: 0.857 0.357 0.500
Pd: 0.000 0.000 0.500
Pd: 0.500 0.500 0.500

Number 1: electronic total energy -4.388 eV/atom. Number 2: electronic total energy -3.393 eV/atom. Number 3: electronic total energy -3.790 eV/atom. Number 4: electronic total energy -3.911 eV/atom. Number 5: electronic total energy -3.974 eV/atom. Number 6: electronic total energy -3.910 eV/atom. Number 7: electronic total energy -3.683 eV/atom. Number 8: electronic total energy -2.875 eV/atom. Number 9: electronic total energy -4.082 eV/atom. Number 10: electronic total energy -3.190 eV/atom.